A relaxed structure of PmAl2Ni9, computed with PBE.

Results
Formation enthalpy at 0 K = -0.3499 eV/atom
Calculated total energy = -5.7055 eV per atom
Crystal system = tetragonal
Size of the total moment = 0.666 μB per formula unit

Cell lengths 8.092, 8.092, 4.736 Å; angles 90.00, 90.00, 90.00 degrees
Positions (direct):
Pm  0.000  0.000  0.000
Pm  0.500  0.500  0.000
Al  0.120  0.380  0.000
Al  0.380  0.880  0.000
Al  0.620  0.120  0.000
Al  0.880  0.620  0.000
Ni  0.000  0.500  0.500
Ni  0.066  0.211  0.500
Ni  0.177  0.677  0.241
Ni  0.177  0.677  0.759
Ni  0.211  0.934  0.500
Ni  0.289  0.434  0.500
Ni  0.323  0.177  0.241
Ni  0.323  0.177  0.759
Ni  0.434  0.711  0.500
Ni  0.500  0.000  0.500
Ni  0.566  0.289  0.500
Ni  0.677  0.823  0.241
Ni  0.677  0.823  0.759
Ni  0.711  0.566  0.500
Ni  0.789  0.066  0.500
Ni  0.823  0.323  0.241
Ni  0.823  0.323  0.759
Ni  0.934  0.789  0.500